Record 1
Density functional theory data (PBE) for a relaxed MnSCl2 crystal.

a = 6.3877 Å, b = 6.3877 Å, c = 8.8991 Å
α = 90.00°, β = 90.00°, γ = 90.00°
With the nearest neighbours (Å) after each atom.
Space group I-42d (No. 122)
Unique sites:
Mn: 0.0000 0.0000 0.0000 (multiplicity 4)  4 Cl 2.14
S: 0.0000 0.0000 0.5000 (multiplicity 4)  4 Cl 3.01
Cl: 0.1397 0.2500 0.1250 (multiplicity 8)  2 Mn 2.14

Values from the calculation:
- E above lowest polymorph (eV/atom) = 0.691
- ΔE_f (raw) (eV per atom) = 0.517

Record 2
Density functional theory data (PBE) for a relaxed MnS2Cl crystal.

a = 6.0797 Å, b = 6.0797 Å, c = 9.2754 Å
α = 90.00°, β = 90.00°, γ = 90.00°
With the nearest neighbours (Å) after each atom.
Space group I-42d (No. 122)
Unique sites:
Mn: 0.0000 0.0000 0.0000 (multiplicity 4)  4 S 2.08
S: 0.1355 0.2500 0.1250 (multiplicity 8)  2 Mn 2.08
Cl: 0.0000 0.0000 0.5000 (multiplicity 4)  4 S 2.93

Values from the calculation:
- E above lowest polymorph (eV/atom) = 0.241
- ΔE_f (raw) (eV per atom) = -0.092

Record 3
Density functional theory data (PBE) for a relaxed MnS2Cl crystal.

a = 6.1537 Å, b = 6.1537 Å, c = 6.1537 Å
α = 90.00°, β = 90.00°, γ = 90.00°
With the nearest neighbours (Å) after each atom.
Space group Fm-3m (No. 225)
Unique sites:
Mn: 0.0000 0.0000 0.0000 (multiplicity 4)  8 S 2.66
S: 0.2500 0.2500 0.2500 (multiplicity 8)  4 Cl 2.66, 4 Mn 2.66
Cl: 0.0000 0.0000 0.5000 (multiplicity 4)  8 S 2.66

Values from the calculation:
- E above lowest polymorph (eV/atom) = 1.224
- ΔE_f (raw) (eV per atom) = 0.892

Record 4
Density functional theory data (PBE) for a relaxed MnSCl2 crystal.

a = 2.8599 Å, b = 2.8599 Å, c = 36.3443 Å
α = 90.00°, β = 90.00°, γ = 120.00°
With the nearest neighbours (Å) after each atom.
Space group R-3m (No. 166, hexagonal axes)
Unique sites:
Mn: 0.0000 0.0000 0.0000 (multiplicity 3)  2 Cl 2.09
S: 0.0000 0.0000 0.5000 (multiplicity 3)  6 S 2.86
Cl: 0.0000 0.0000 0.0575 (multiplicity 6)  1 Mn 2.09

Values from the calculation:
- E above lowest polymorph (eV/atom) = 0.720
- ΔE_f (raw) (eV per atom) = 0.545

Record 5
Density functional theory data (PBE) for a relaxed MnS8Cl2 crystal.

a = 14.7084 Å, b = 5.9481 Å, c = 8.9151 Å
α = 90.00°, β = 126.32°, γ = 90.00°
With the nearest neighbours (Å) after each atom.
Space group C2/m (No. 12)
Unique sites:
Mn: 0.0000 0.0000 0.0000 (multiplicity 2)  4 S 2.29, 2 Cl 2.29
S: 0.0066 0.5000 0.2722 (multiplicity 4)  2 S 2.15
S: 0.0988 0.2457 0.2435 (multiplicity 8)  2 S 2.15, 1 Mn 2.29
S: 0.1820 0.5000 0.1934 (multiplicity 4)  2 S 2.15
Cl: 0.1558 0.0000 0.9996 (multiplicity 4)  1 Mn 2.29

Values from the calculation:
- ΔE_f (raw) (eV per atom) = 0.058

Record 6
Density functional theory data (PBE) for a relaxed MnS2Cl2 crystal.

a = 6.1350 Å, b = 3.5435 Å, c = 12.3816 Å
α = 90.00°, β = 95.13°, γ = 90.00°
With the nearest neighbours (Å) after each atom.
Space group C2/m (No. 12)
Unique sites:
Mn: 0.0000 0.0000 0.0000 (multiplicity 2)  6 Cl 2.52
S: 0.0140 0.0000 0.5767 (multiplicity 4)  1 S 1.89
Cl: 0.1880 0.5000 0.1187 (multiplicity 4)  3 Mn 2.52

Values from the calculation:
- ΔE_f (raw) (eV per atom) = -0.516

Record 7
Density functional theory data (PBE) for a relaxed MnS2Cl crystal.

a = 2.7728 Å, b = 2.7728 Å, c = 35.5705 Å
α = 90.00°, β = 90.00°, γ = 120.00°
With the nearest neighbours (Å) after each atom.
Space group R-3m (No. 166, hexagonal axes)
Unique sites:
Mn: 0.0000 0.0000 0.0000 (multiplicity 3)  2 S 2.23
S: 0.0000 0.0000 0.0626 (multiplicity 6)  1 Mn 2.23
Cl: 0.0000 0.0000 0.5000 (multiplicity 3)  6 Cl 2.77

Values from the calculation:
- E above lowest polymorph (eV/atom) = 0.819
- ΔE_f (raw) (eV per atom) = 0.487

Record 8
Density functional theory data (PBE) for a relaxed MnSCl2 crystal.

a = 6.7496 Å, b = 6.7496 Å, c = 6.7496 Å
α = 90.00°, β = 90.00°, γ = 90.00°
With the nearest neighbours (Å) after each atom.
Space group Fm-3m (No. 225)
Unique sites:
Mn: 0.0000 0.0000 0.0000 (multiplicity 4)  8 Cl 2.92
S: 0.0000 0.0000 0.5000 (multiplicity 4)  8 Cl 2.92
Cl: 0.2500 0.2500 0.2500 (multiplicity 8)  4 S 2.92, 4 Mn 2.92

Values from the calculation:
- E above lowest polymorph (eV/atom) = 0.490
- ΔE_f (raw) (eV per atom) = 0.315

Record 9
Density functional theory data (PBE) for a relaxed MnS4Cl2 crystal.

a = 7.6188 Å, b = 7.6906 Å, c = 7.9377 Å
α = 68.05°, β = 69.75°, γ = 64.61°
With the nearest neighbours (Å) after each atom.
Space group P1 (No. 1)
Unique sites:
Mn: 0.0000 0.0000 0.0000 (multiplicity 1)  3 S 2.28-2.44, 2 Cl 2.43-2.54
Mn: 0.2816 0.3067 0.1661 (multiplicity 1)  2 S 2.30-2.49, 2 Cl 2.38-2.41
S: 0.0245 0.7817 0.3134 (multiplicity 1)  1 S 1.97
S: 0.0252 0.7500 0.8958 (multiplicity 1)  1 S 1.99
S: 0.1197 0.1966 0.6971 (multiplicity 1)  1 S 2.00
S: 0.2110 0.0663 0.4913 (multiplicity 1)  1 S 2.00
S: 0.2616 0.5368 0.3304 (multiplicity 1)  1 S 1.97, 1 Cl 2.11
S: 0.3003 0.5520 0.8910 (multiplicity 1)  1 S 1.99
S: 0.5403 0.8580 0.5288 (multiplicity 1)  1 S 1.92
S: 0.5668 0.9450 0.7127 (multiplicity 1)  1 S 1.92, 1 Cl 2.10
Cl: 0.0276 0.2457 0.1037 (multiplicity 1)  2 Mn 2.41-2.43
Cl: 0.5177 0.6182 0.1975 (multiplicity 1)  1 S 2.11
Cl: 0.6228 0.1222 0.0646 (multiplicity 1)  2 Mn 2.38-2.54
Cl: 0.6699 0.1871 0.5752 (multiplicity 1)  1 S 2.10

Values from the calculation:
- ΔE_f (raw) (eV per atom) = -0.253

Record 10
Density functional theory data (PBE) for a relaxed MnSCl2 crystal.

a = 3.5370 Å, b = 3.5370 Å, c = 29.2179 Å
α = 90.00°, β = 90.00°, γ = 120.00°
With the nearest neighbours (Å) after each atom.
Space group R-3m (No. 166, hexagonal axes)
Unique sites:
Mn: 0.0000 0.0000 0.0000 (multiplicity 3)  6 Cl 2.51
S: 0.0000 0.0000 0.5000 (multiplicity 3)  2 Cl 3.41, 6 S 3.54
Cl: 0.0000 0.0000 0.3833 (multiplicity 6)  3 Mn 2.51

Values from the calculation:
- E above lowest polymorph (eV/atom) = 0.000
- ΔE_f (raw) (eV per atom) = -0.175

Record 11
Density functional theory data (PBE) for a relaxed ScMnSCl2 crystal.

a = 4.7363 Å, b = 4.7363 Å, c = 4.8701 Å
α = 90.00°, β = 90.00°, γ = 90.00°
With the nearest neighbours (Å) after each atom.
Space group P4/mmm (No. 123)
Unique sites:
Sc: 0.0000 0.0000 0.0000 (multiplicity 1)  4 S 3.35, 8 Cl 3.40
Mn: 0.5000 0.5000 0.5000 (multiplicity 1)  4 Cl 2.37, 2 S 2.44
S: 0.5000 0.5000 0.0000 (multiplicity 1)  2 Mn 2.44
Cl: 0.0000 0.5000 0.5000 (multiplicity 2)  2 Mn 2.37

Values from the calculation:
- E above lowest polymorph (eV/atom) = 0.239
- ΔE_f (raw) (eV per atom) = -0.607

Record 12
Density functional theory data (PBE) for a relaxed ScMnS2Cl crystal.

a = 4.6763 Å, b = 4.6763 Å, c = 4.5219 Å
α = 90.00°, β = 90.00°, γ = 90.00°
With the nearest neighbours (Å) after each atom.
Space group P4/mmm (No. 123)
Unique sites:
Sc: 0.0000 0.0000 0.0000 (multiplicity 1)  8 S 3.25, 4 Cl 3.31
Mn: 0.5000 0.5000 0.5000 (multiplicity 1)  2 Cl 2.26, 4 S 2.34
S: 0.0000 0.5000 0.5000 (multiplicity 2)  2 Mn 2.34
Cl: 0.5000 0.5000 0.0000 (multiplicity 1)  2 Mn 2.26

Values from the calculation:
- E above lowest polymorph (eV/atom) = 0.062
- ΔE_f (raw) (eV per atom) = -0.590

Record 13
Density functional theory data (PBE) for a relaxed ScMnSCl2 crystal.

a = 5.0137 Å, b = 5.0137 Å, c = 4.9800 Å
α = 90.00°, β = 90.00°, γ = 90.00°
With the nearest neighbours (Å) after each atom.
Space group P4/mmm (No. 123)
Unique sites:
Sc: 0.0000 0.0000 0.0000 (multiplicity 1)  2 S 2.49, 4 Cl 2.51
Mn: 0.5000 0.5000 0.5000 (multiplicity 1)  8 Cl 3.53, 4 S 3.55
S: 0.0000 0.0000 0.5000 (multiplicity 1)  2 Sc 2.49
Cl: 0.0000 0.5000 0.0000 (multiplicity 2)  2 Sc 2.51

Values from the calculation:
- E above lowest polymorph (eV/atom) = 0.000
- ΔE_f (raw) (eV per atom) = -0.847

Record 14
Density functional theory data (PBE) for a relaxed ScMnS2Cl crystal.

a = 4.9715 Å, b = 4.9715 Å, c = 4.7861 Å
α = 90.00°, β = 90.00°, γ = 90.00°
With the nearest neighbours (Å) after each atom.
Space group P4/mmm (No. 123)
Unique sites:
Sc: 0.0000 0.0000 0.0000 (multiplicity 1)  2 Cl 2.39, 4 S 2.49
Mn: 0.5000 0.5000 0.5000 (multiplicity 1)  8 S 3.45, 4 Cl 3.52
S: 0.0000 0.5000 0.0000 (multiplicity 2)  2 Sc 2.49
Cl: 0.0000 0.0000 0.5000 (multiplicity 1)  2 Sc 2.39

Values from the calculation:
- E above lowest polymorph (eV/atom) = 0.000
- ΔE_f (raw) (eV per atom) = -0.652

Record 15
Density functional theory data (PBE) for a relaxed MnSeS2Cl crystal.

a = 4.9014 Å, b = 4.9014 Å, c = 4.7254 Å
α = 90.00°, β = 90.00°, γ = 90.00°
With the nearest neighbours (Å) after each atom.
Space group P4/mmm (No. 123)
Unique sites:
Mn: 0.0000 0.0000 0.0000 (multiplicity 1)  8 S 3.40, 4 Cl 3.47
Se: 0.5000 0.5000 0.5000 (multiplicity 1)  2 Cl 2.36, 4 S 2.45
S: 0.0000 0.5000 0.5000 (multiplicity 2)  2 Se 2.45
Cl: 0.5000 0.5000 0.0000 (multiplicity 1)  2 Se 2.36

Values from the calculation:
- E above lowest polymorph (eV/atom) = 0.172
- ΔE_f (raw) (eV per atom) = 0.490

Record 16
Density functional theory data (PBE) for a relaxed MnSeS2Cl crystal.

a = 4.4404 Å, b = 4.4404 Å, c = 4.5606 Å
α = 90.00°, β = 90.00°, γ = 90.00°
With the nearest neighbours (Å) after each atom.
Space group P4/mmm (No. 123)
Unique sites:
Mn: 0.0000 0.0000 0.0000 (multiplicity 1)  4 S 2.22, 2 Cl 2.28
Se: 0.5000 0.5000 0.5000 (multiplicity 1)  4 Cl 3.14, 8 S 3.18
S: 0.0000 0.5000 0.0000 (multiplicity 2)  2 Mn 2.22
Cl: 0.0000 0.0000 0.5000 (multiplicity 1)  2 Mn 2.28

Values from the calculation:
- E above lowest polymorph (eV/atom) = 0.000
- ΔE_f (raw) (eV per atom) = 0.319

Record 17
Density functional theory data (PBE) for a relaxed MnSeS2Cl crystal.

a = 4.9725 Å, b = 4.9725 Å, c = 4.1263 Å
α = 90.00°, β = 90.00°, γ = 90.00°
With the nearest neighbours (Å) after each atom.
Space group P4/mmm (No. 123)
Unique sites:
Mn: 0.0000 0.0000 0.0000 (multiplicity 1)  2 Cl 2.06
Se: 0.5000 0.5000 0.0000 (multiplicity 1)  8 S 3.23, 4 Mn 3.52
S: 0.0000 0.5000 0.5000 (multiplicity 2)  2 Cl 2.49
Cl: 0.0000 0.0000 0.5000 (multiplicity 1)  2 Mn 2.06

Values from the calculation:
- E above lowest polymorph (eV/atom) = 1.067
- ΔE_f (raw) (eV per atom) = 1.386

Record 18
Density functional theory data (PBE) for a relaxed MnSiS2Cl crystal.

a = 4.6982 Å, b = 4.6982 Å, c = 4.5646 Å
α = 90.00°, β = 90.00°, γ = 90.00°
With the nearest neighbours (Å) after each atom.
Space group P4/mmm (No. 123)
Unique sites:
Mn: 0.0000 0.0000 0.0000 (multiplicity 1)  2 Cl 2.28, 4 S 2.35
Si: 0.5000 0.5000 0.5000 (multiplicity 1)  8 S 3.28, 4 Cl 3.32
S: 0.0000 0.5000 0.0000 (multiplicity 2)  2 Mn 2.35
Cl: 0.0000 0.0000 0.5000 (multiplicity 1)  2 Mn 2.28

Values from the calculation:
- E above lowest polymorph (eV/atom) = 0.055
- ΔE_f (raw) (eV per atom) = 0.144

Record 19
Density functional theory data (PBE) for a relaxed MnSiSCl2 crystal.

a = 4.7415 Å, b = 4.7415 Å, c = 4.8580 Å
α = 90.00°, β = 90.00°, γ = 90.00°
With the nearest neighbours (Å) after each atom.
Space group P4/mmm (No. 123)
Unique sites:
Mn: 0.0000 0.0000 0.0000 (multiplicity 1)  4 Cl 2.37, 2 S 2.43
Si: 0.5000 0.5000 0.5000 (multiplicity 1)  4 S 3.35, 8 Cl 3.39
S: 0.0000 0.0000 0.5000 (multiplicity 1)  2 Mn 2.43
Cl: 0.0000 0.5000 0.0000 (multiplicity 2)  2 Mn 2.37

Values from the calculation:
- E above lowest polymorph (eV/atom) = 0.000
- ΔE_f (raw) (eV per atom) = -0.001

Record 20
Density functional theory data (PBE) for a relaxed MnSiSCl2 crystal.

a = 4.7655 Å, b = 4.7655 Å, c = 4.7476 Å
α = 90.00°, β = 90.00°, γ = 90.00°
With the nearest neighbours (Å) after each atom.
Space group P4/mmm (No. 123)
Unique sites:
Mn: 0.0000 0.0000 0.0000 (multiplicity 1)  8 Cl 3.36, 4 S 3.37
Si: 0.5000 0.5000 0.5000 (multiplicity 1)  2 S 2.37, 4 Cl 2.38
S: 0.5000 0.5000 0.0000 (multiplicity 1)  2 Si 2.37
Cl: 0.0000 0.5000 0.5000 (multiplicity 2)  2 Si 2.38

Values from the calculation:
- E above lowest polymorph (eV/atom) = 0.045
- ΔE_f (raw) (eV per atom) = 0.044